PBE with a Hubbard U FeCuF, relaxed; spin magnetization = 7.53 μB per cell; SG = Amm2; final energy = -4.508 eV/atom; energy above the most stable polymorph in this dataset = 0.2035 eV per atom; calculated density = 5.468 g/cm³; crystal system = orthorhombic
1.0
-0.652 2.823 0.379
-1.945 -1.949 -0.085
0.898 -1.430 12.201
Cu Fe F
2 2 2
Direct
0.313 0.626 0.000
0.342 0.685 0.500
0.684 0.367 0.830
0.684 0.367 0.170
0.322 0.644 0.723
0.322 0.644 0.277